11
Lattice="4.343 -7.668 0.000 4.343 7.668 0.000 -3.180 0.000 4.541" Properties=species:S:1:pos:R:3 comment="TbNd2Sc8, optimized geometry, DFT PBE-GGA" magnetic_moment_mub_per_cell=0.00 final_energy_ev_per_fu=-63.1 delta_e_f_mev_per_atom=156 pbc="T T T"
Tb 0.000 0.000 0.000
Nd 2.753 2.973 2.271
Nd 2.753 -2.973 2.271
Sc -0.321 1.797 3.108
Sc 4.343 4.501 0.000
Sc -0.321 -1.797 3.108
Sc 3.206 0.000 0.956
Sc 2.301 0.000 3.585
Sc 5.828 1.797 1.433
Sc 4.343 -4.501 0.000
Sc 5.828 -1.797 1.433